AcTbCeSn: optimized geometry, PBE-GGA.

Summary:
raw total energy	-4.807	eV per atom
DOS(E_F)	2.61	states/eV/atom
E_form	-0.14	eV/atom

abc: 7.899 7.899 7.899
angles: 90.00 90.00 90.00
Space group F-43m (No. 216)
Asymmetric unit:
Ac: 0.000 0.000 0.000 [4 per cell]
Tb: 0.250 0.250 0.750 [4 per cell]
Ce: 0.250 0.250 0.250 [4 per cell]
Sn: 0.000 0.000 0.500 [4 per cell]